First-principles (PBE) data for an optimized crystal structure of BeCo2Hg, as listed in Alexandria via LeMat-Bulk.

Structure (POSCAR):
```
BeCo2Hg
1.0
0.0000 2.9461 2.9461
2.9461 0.0000 2.9461
2.9461 2.9461 0.0000
Be Co Hg
1 2 1
Direct
0.0000 0.0000 0.0000
0.2500 0.2500 0.2500
0.7500 0.7500 0.7500
0.5000 0.5000 0.5000
```

Properties
* M_tot: 0.335 μB/atom
* calculated total energy: -4.12 eV/atom
* relative energy among the computed polymorphs: 0.98 eV per formula unit

---

First-principles (PBE) data for an optimized crystal structure of Be3CoHg, as listed in Alexandria via LeMat-Bulk.

Structure (POSCAR):
```
Be3CoHg
1.0
4.3536 0.0000 0.0000
0.0000 4.3536 0.0000
0.0000 0.0000 4.3536
Be Co Hg
3 1 1
Direct
0.0000 0.0000 0.5000
0.0000 0.5000 0.0000
0.5000 0.0000 0.0000
0.5000 0.5000 0.5000
0.0000 0.0000 0.0000
```

Properties
* M_tot: 0.372 μB/atom
* calculated total energy: -2.40 eV/atom
* relative energy among the computed polymorphs: 3.87 eV per formula unit

---

First-principles (PBE) data for an optimized crystal structure of BeCo2Hg, as listed in Alexandria via LeMat-Bulk.

Structure (POSCAR):
```
BeCo2Hg
1.0
0.0000 2.9462 2.9462
2.9462 0.0000 2.9462
2.9462 2.9462 0.0000
Be Co Hg
1 2 1
Direct
0.0000 0.0000 0.0000
0.2500 0.2500 0.2500
0.5000 0.5000 0.5000
0.7500 0.7500 0.7500
```

Properties
* M_tot: 0.751 μB/atom
* calculated total energy: -4.19 eV/atom
* relative energy among the computed polymorphs: 0.71 eV per formula unit

---

First-principles (PBE) data for an optimized crystal structure of Be2CoHg, as listed in Alexandria via LeMat-Bulk.

Structure (POSCAR):
```
Be2CoHg
1.0
1.3687 0.7902 8.2800
-1.3687 0.7902 8.2800
0.0000 -1.5804 8.2800
Be Co Hg
2 1 1
Direct
0.2290 0.2290 0.2290
0.7710 0.7710 0.7710
0.5000 0.5000 0.5000
0.0000 0.0000 0.0000
```

Properties
* M_tot: 0.000 μB/atom
* calculated total energy: -3.29 eV/atom

---

First-principles (PBE) data for an optimized crystal structure of Be2CoHg, as listed in Alexandria via LeMat-Bulk.

Structure (POSCAR):
```
Be2CoHg
1.0
3.8186 -1.4889 0.0000
3.8186 1.4889 0.0000
-1.1446 0.0000 4.3855
Be Co Hg
2 1 1
Direct
0.2216 0.2216 0.1449
0.7784 0.7784 0.8551
0.5000 0.5000 0.0000
0.0000 0.0000 0.5000
```

Properties
* M_tot: 0.023 μB/atom
* calculated total energy: -3.46 eV/atom

---

First-principles (PBE) data for an optimized crystal structure of BeCo2Hg, as listed in Alexandria via LeMat-Bulk.

Structure (POSCAR):
```
BeCo2Hg
1.0
4.0065 -1.3813 0.0000
4.0065 1.3813 0.0000
-0.8551 0.0000 4.7793
Be Co Hg
1 2 1
Direct
0.0000 0.0000 0.0000
0.2661 0.2661 0.8189
0.5234 0.5234 0.6487
0.7624 0.7624 0.3099
```

Properties
* M_tot: 0.666 μB/atom
* calculated total energy: -4.24 eV/atom
* relative energy among the computed polymorphs: 0.52 eV per formula unit

---

First-principles (PBE) data for an optimized crystal structure of BeCo2Hg, as listed in Alexandria via LeMat-Bulk.

Structure (POSCAR):
```
BeCo2Hg
1.0
3.5744 0.0000 0.0000
0.0000 3.6517 0.0000
0.0000 0.0000 3.9197
Be Co Hg
1 2 1
Direct
0.0000 0.0000 0.0000
0.0000 0.5000 0.5000
0.5000 0.0000 0.5000
0.5000 0.5000 0.0000
```

Properties
* M_tot: 0.687 μB/atom
* calculated total energy: -4.19 eV/atom
* relative energy among the computed polymorphs: 0.71 eV per formula unit

---

First-principles (PBE) data for an optimized crystal structure of Be2CoHg, as listed in Alexandria via LeMat-Bulk.

Structure (POSCAR):
```
Be2CoHg
1.0
-1.8979 1.8979 7.6287
1.8979 -1.8979 7.6287
1.8979 1.8979 -7.6287
Be Co Hg
4 2 2
Direct
0.3750 0.2471 0.3721
0.7529 0.1250 0.1279
0.8750 0.0029 0.6279
0.9971 0.6250 0.8721
0.0000 0.0000 0.0000
0.7500 0.2500 0.5000
0.2500 0.7500 0.5000
0.5000 0.5000 0.0000
```

Properties
* M_tot: 0.000 μB/atom
* calculated total energy: -3.20 eV/atom